[1]
# NaZrBe3 (GGA-PBE, optimized geometry)
data_NaZrBe3
_cell_length_a 4.9338
_cell_length_b 4.9338
_cell_length_c 4.9338
_cell_angle_alpha 90.00
_cell_angle_beta 90.00
_cell_angle_gamma 90.00
_symmetry_space_group_name_H-M 'P 1'
_symmetry_Int_Tables_number 1
loop_
_symmetry_equiv_pos_as_xyz
'x,y,z'
loop_
_atom_site_label
_atom_site_type_symbol
_atom_site_fract_x
_atom_site_fract_y
_atom_site_fract_z
Na1 Na 0.5000 0.5000 0.5000
Zr1 Zr 0.0000 0.0000 0.0000
Be1 Be 0.0000 0.5000 0.0000
Be2 Be 0.0000 0.0000 0.5000
Be3 Be 0.5000 0.0000 0.0000
# ΔH_f (0 K)	701	kJ/mol of formula units
# SG	Pm-3m (221)
# calculated volume	24.02	Å³ per atom
# offset from the most stable computed form	0.2937	eV per atom


[2]
# Tl12P3F5 (GGA-PBE, optimized geometry)
data_Tl12P3F5
_cell_length_a 14.5020
_cell_length_b 14.5020
_cell_length_c 14.5020
_cell_angle_alpha 109.47
_cell_angle_beta 109.47
_cell_angle_gamma 109.47
_symmetry_space_group_name_H-M 'P 1'
_symmetry_Int_Tables_number 1
loop_
_symmetry_equiv_pos_as_xyz
'x,y,z'
loop_
_atom_site_label
_atom_site_type_symbol
_atom_site_fract_x
_atom_site_fract_y
_atom_site_fract_z
P1 P 0.7500 0.3750 0.1250
P2 P 0.8750 0.7500 0.1250
P3 P 0.3750 0.7500 0.6250
P4 P 0.2500 0.1250 0.3750
P5 P 0.8750 0.1250 0.2500
P6 P 0.3750 0.6250 0.2500
P7 P 0.6250 0.3750 0.7500
P8 P 0.1250 0.8750 0.7500
P9 P 0.7500 0.8750 0.6250
P10 P 0.6250 0.2500 0.3750
P11 P 0.1250 0.2500 0.8750
P12 P 0.2500 0.6250 0.8750
F1 F 0.1250 0.3750 0.2500
F2 F 0.0000 0.5000 0.0000
F3 F 0.0000 0.0000 0.0000
F4 F 0.3750 0.2500 0.1250
F5 F 0.5000 0.0000 0.5000
F6 F 0.5000 0.5000 0.0000
F7 F 0.1250 0.7500 0.3750
F8 F 0.7500 0.1250 0.8750
F9 F 0.7500 0.6250 0.3750
F10 F 0.3750 0.1250 0.7500
F11 F 0.6250 0.8750 0.2500
F12 F 0.5000 0.5000 0.5000
F13 F 0.5000 0.0000 0.0000
F14 F 0.0000 0.0000 0.5000
F15 F 0.2500 0.3750 0.6250
F16 F 0.2500 0.8750 0.1250
F17 F 0.0000 0.5000 0.5000
F18 F 0.8750 0.2500 0.6250
F19 F 0.6250 0.7500 0.8750
F20 F 0.8750 0.6250 0.7500
Tl1 Tl 0.7124 0.1291 0.0373
Tl2 Tl 0.3249 0.5373 0.4083
Tl3 Tl 0.9627 0.3709 0.2876
Tl4 Tl 0.5373 0.2124 0.1291
Tl5 Tl 0.5834 0.7124 0.6751
Tl6 Tl 0.9627 0.5917 0.1751
Tl7 Tl 0.3249 0.7876 0.4166
Tl8 Tl 0.0917 0.9166 0.1291
Tl9 Tl 0.5917 0.9627 0.6751
Tl10 Tl 0.7124 0.5834 0.1751
Tl11 Tl 0.7876 0.4627 0.3709
Tl12 Tl 0.8249 0.9083 0.0373
Tl13 Tl 0.1291 0.7124 0.5373
Tl14 Tl 0.3709 0.4083 0.0834
Tl15 Tl 0.0834 0.9083 0.3709
Tl16 Tl 0.4166 0.1291 0.5917
Tl17 Tl 0.0834 0.1751 0.2124
Tl18 Tl 0.4627 0.6751 0.0917
Tl19 Tl 0.8249 0.9166 0.2876
Tl20 Tl 0.1291 0.4166 0.0917
Tl21 Tl 0.3709 0.9627 0.7876
Tl22 Tl 0.5917 0.6291 0.4166
Tl23 Tl 0.9083 0.8249 0.5373
Tl24 Tl 0.7876 0.3249 0.9166
Tl25 Tl 0.4083 0.3709 0.5834
Tl26 Tl 0.0917 0.1751 0.4627
Tl27 Tl 0.2124 0.6751 0.0834
Tl28 Tl 0.1751 0.0834 0.7124
Tl29 Tl 0.6291 0.0373 0.2124
Tl30 Tl 0.8709 0.5834 0.9083
Tl31 Tl 0.5373 0.3249 0.9083
Tl32 Tl 0.5834 0.8709 0.4083
Tl33 Tl 0.9166 0.8249 0.7876
Tl34 Tl 0.9166 0.0917 0.6291
Tl35 Tl 0.8709 0.2876 0.4627
Tl36 Tl 0.1751 0.0917 0.9627
Tl37 Tl 0.6291 0.5917 0.9166
Tl38 Tl 0.4083 0.0373 0.3249
Tl39 Tl 0.2876 0.4166 0.8249
Tl40 Tl 0.2124 0.5373 0.6291
Tl41 Tl 0.9083 0.0834 0.8709
Tl42 Tl 0.6751 0.2124 0.5834
Tl43 Tl 0.4627 0.7876 0.8709
Tl44 Tl 0.0373 0.4083 0.8249
Tl45 Tl 0.4166 0.2876 0.3249
Tl46 Tl 0.0373 0.6291 0.7124
Tl47 Tl 0.6751 0.4627 0.5917
Tl48 Tl 0.2876 0.8709 0.9627
# SG	Ia-3d (230)
# raw formation energy	-665.9	meV per atom
# calculated volume	29.35	Å³ per atom


[3]
# Hf2CoAs2 (GGA-PBE, optimized geometry)
data_Hf2CoAs2
_cell_length_a 6.8657
_cell_length_b 6.8657
_cell_length_c 3.6706
_cell_angle_alpha 90.00
_cell_angle_beta 90.00
_cell_angle_gamma 90.00
_symmetry_space_group_name_H-M 'P 1'
_symmetry_Int_Tables_number 1
loop_
_symmetry_equiv_pos_as_xyz
'x,y,z'
loop_
_atom_site_label
_atom_site_type_symbol
_atom_site_fract_x
_atom_site_fract_y
_atom_site_fract_z
Co1 Co 0.0000 0.0000 0.0000
Co2 Co 0.5000 0.5000 0.0000
As1 As 0.3490 0.8490 0.0000
As2 As 0.8490 0.6510 0.0000
As3 As 0.6510 0.1510 0.0000
As4 As 0.1510 0.3490 0.0000
Hf1 Hf 0.1568 0.6568 0.5000
Hf2 Hf 0.6568 0.8432 0.5000
Hf3 Hf 0.8432 0.3432 0.5000
Hf4 Hf 0.3432 0.1568 0.5000
# ΔH_f (0 K)	-260	kJ/mol of formula units
# SG	P4/mbm (127)
# calculated volume	17.30	Å³ per atom


[4]
# Nd2SmSi3Pt4 (GGA-PBE, optimized geometry)
data_Nd2SmSi3Pt4
_cell_length_a 4.2986
_cell_length_b 4.2986
_cell_length_c 10.9269
_cell_angle_alpha 90.00
_cell_angle_beta 90.00
_cell_angle_gamma 90.00
_symmetry_space_group_name_H-M 'P 1'
_symmetry_Int_Tables_number 1
loop_
_symmetry_equiv_pos_as_xyz
'x,y,z'
loop_
_atom_site_label
_atom_site_type_symbol
_atom_site_fract_x
_atom_site_fract_y
_atom_site_fract_z
Nd1 Nd 0.5000 0.0000 0.2240
Nd2 Nd 0.0000 0.5000 0.7760
Sm1 Sm 0.5000 0.5000 0.5000
Si1 Si 0.0000 0.0000 0.5000
Si2 Si 0.5000 0.0000 0.8841
Si3 Si 0.0000 0.5000 0.1159
Pt1 Pt 0.5000 0.5000 0.0000
Pt2 Pt 0.0000 0.0000 0.0000
Pt3 Pt 0.5000 0.0000 0.6661
Pt4 Pt 0.0000 0.5000 0.3339
# SG	P-4m2 (115)
# raw formation energy	-1018.4	meV per atom
# calculated volume	20.19	Å³ per atom


[5]
# SrSbTe2As (GGA-PBE, optimized geometry)
data_SrSbTe2As
_cell_length_a 6.0987
_cell_length_b 6.0987
_cell_length_c 6.3074
_cell_angle_alpha 90.00
_cell_angle_beta 90.00
_cell_angle_gamma 90.00
_symmetry_space_group_name_H-M 'P 1'
_symmetry_Int_Tables_number 1
loop_
_symmetry_equiv_pos_as_xyz
'x,y,z'
loop_
_atom_site_label
_atom_site_type_symbol
_atom_site_fract_x
_atom_site_fract_y
_atom_site_fract_z
Sb1 Sb 0.0000 0.0000 0.5000
As1 As 0.5000 0.5000 0.5000
Te1 Te 0.0000 0.5000 0.0000
Te2 Te 0.5000 0.0000 0.0000
Sr1 Sr 0.0000 0.0000 0.0000
# SG	P4/mmm (123)
# raw formation energy	788.9	meV per atom
# calculated volume	46.92	Å³ per atom
# offset from the most stable computed form	1.0255	eV per atom


[6]
# Np2GaSb (GGA-PBE, optimized geometry)
data_Np2GaSb
_cell_length_a 5.1452
_cell_length_b 5.1452
_cell_length_c 5.1456
_cell_angle_alpha 60.00
_cell_angle_beta 60.00
_cell_angle_gamma 60.00
_symmetry_space_group_name_H-M 'P 1'
_symmetry_Int_Tables_number 1
loop_
_symmetry_equiv_pos_as_xyz
'x,y,z'
loop_
_atom_site_label
_atom_site_type_symbol
_atom_site_fract_x
_atom_site_fract_y
_atom_site_fract_z
Np1 Np 0.2500 0.2500 0.2499
Np2 Np 0.7500 0.7500 0.7501
Sb1 Sb 0.5000 0.5000 0.5000
Ga1 Ga 0.0000 0.0000 0.0000
# SG	Fm-3m (225)
# raw formation energy	9.5	meV per atom
# calculated volume	24.08	Å³ per atom
# offset from the most stable computed form	0.0891	eV per atom


[7]
# YTiPO2 (GGA-PBE, optimized geometry)
data_YTiPO2
_cell_length_a 4.1468
_cell_length_b 4.1468
_cell_length_c 5.7310
_cell_angle_alpha 90.00
_cell_angle_beta 90.00
_cell_angle_gamma 90.00
_symmetry_space_group_name_H-M 'P 1'
_symmetry_Int_Tables_number 1
loop_
_symmetry_equiv_pos_as_xyz
'x,y,z'
loop_
_atom_site_label
_atom_site_type_symbol
_atom_site_fract_x
_atom_site_fract_y
_atom_site_fract_z
Y1 Y 0.0000 0.0000 0.0000
P1 P 0.0000 0.0000 0.5000
O1 O 0.0000 0.5000 0.0000
O2 O 0.5000 0.0000 0.0000
Ti1 Ti 0.5000 0.5000 0.5000
# SG	P4/mmm (123)
# raw formation energy	-926.1	meV per atom
# calculated volume	19.71	Å³ per atom
# offset from the most stable computed form	1.2277	eV per atom


[8]
# Ba3HN (GGA-PBE, optimized geometry)
data_Ba3HN
_cell_length_a 7.0590
_cell_length_b 7.0590
_cell_length_c 8.1246
_cell_angle_alpha 64.25
_cell_angle_beta 64.25
_cell_angle_gamma 60.00
_symmetry_space_group_name_H-M 'P 1'
_symmetry_Int_Tables_number 1
loop_
_symmetry_equiv_pos_as_xyz
'x,y,z'
loop_
_atom_site_label
_atom_site_type_symbol
_atom_site_fract_x
_atom_site_fract_y
_atom_site_fract_z
Ba1 Ba 0.0721 0.4315 0.7268
Ba2 Ba 0.7697 0.0721 0.7268
Ba3 Ba 0.5685 0.2303 0.2732
Ba4 Ba 0.2303 0.9279 0.2732
Ba5 Ba 0.9279 0.5685 0.2732
Ba6 Ba 0.4315 0.7697 0.7268
H1 H 0.3343 0.3343 0.9972
H2 H 0.6657 0.6657 0.0028
N1 N 0.1657 0.1657 0.5028
N2 N 0.8343 0.8343 0.4972
# SG	R-3 (148)
# calculated volume	30.33	Å³ per atom
# offset from the most stable computed form	0.0268	eV per atom


[9]
# YTlTeSe (GGA-PBE, optimized geometry)
data_YTlTeSe
_cell_length_a 4.3057
_cell_length_b 4.3057
_cell_length_c 8.5101
_cell_angle_alpha 90.01
_cell_angle_beta 104.65
_cell_angle_gamma 120.00
_symmetry_space_group_name_H-M 'P 1'
_symmetry_Int_Tables_number 1
loop_
_symmetry_equiv_pos_as_xyz
'x,y,z'
loop_
_atom_site_label
_atom_site_type_symbol
_atom_site_fract_x
_atom_site_fract_y
_atom_site_fract_z
Y1 Y 0.2922 0.5440 0.8515
Tl1 Tl 0.9661 0.3813 0.3624
Te1 Te 0.1133 0.9547 0.0832
Se1 Se 0.5062 0.1509 0.6725
# SG	R3m (160)
# raw formation energy	-1207.5	meV per atom
# calculated volume	32.67	Å³ per atom


[10]
# SrBiPd3 (GGA-PBE, optimized geometry)
data_SrBiPd3
_cell_length_a 5.1580
_cell_length_b 5.1580
_cell_length_c 5.1580
_cell_angle_alpha 90.00
_cell_angle_beta 90.00
_cell_angle_gamma 90.00
_symmetry_space_group_name_H-M 'P 1'
_symmetry_Int_Tables_number 1
loop_
_symmetry_equiv_pos_as_xyz
'x,y,z'
loop_
_atom_site_label
_atom_site_type_symbol
_atom_site_fract_x
_atom_site_fract_y
_atom_site_fract_z
Sr1 Sr 0.0000 0.0000 0.0000
Bi1 Bi 0.5000 0.5000 0.5000
Pd1 Pd 0.0000 0.5000 0.0000
Pd2 Pd 0.0000 0.0000 0.5000
Pd3 Pd 0.5000 0.0000 0.0000
# ΔH_f (0 K)	335	kJ/mol of formula units
# SG	Pm-3m (221)
# calculated volume	27.45	Å³ per atom
# offset from the most stable computed form	1.0985	eV per atom